# 1
A relaxed NaGaSi crystal, computed with PBE.

Unit cell a=4.0210 b=4.0393 c=7.8097 alpha=90.00 beta=92.29 gamma=90.00
Sites, in units of the cell vectors:
1 Na 0.2311 0.2500 0.3637
2 Na 0.7689 0.7500 0.6363
3 Ga 0.2852 0.2500 0.7807
4 Ga 0.7148 0.7500 0.2193
5 Si 0.2078 0.7500 0.0016
6 Si 0.7922 0.2500 0.9984

Values from the calculation:
* density of states at the Fermi level: 0.1682 states/eV/atom
* space-group type: P2_1/m, No. 11
* energy relative to the elements, uncorrected: 0.02 eV per atom
* energy: -3.241 eV per atom

# 2
A relaxed Na2GaSi crystal, computed with PBE.

Unit cell a=11.0478 b=11.0478 c=11.0478 alpha=158.94 beta=158.94 gamma=29.96
Sites, in units of the cell vectors:
1 Na 0.1192 0.6250 0.9942
2 Na 0.3750 0.3692 0.4942
3 Na 0.6308 0.1250 0.0058
4 Na 0.8750 0.8808 0.5058
5 Ga 0.2500 0.7500 0.5000
6 Ga 0.5000 0.5000 0.0000
7 Si 0.0000 0.0000 0.0000
8 Si 0.7500 0.2500 0.5000

Values from the calculation:
* density of states at the Fermi level: 0.4280 states/eV/atom
* distance to the lowest polymorph of the same formula: 327 meV/atom
* space-group type: I-42d, No. 122
* energy relative to the elements, uncorrected: 0.31 eV per atom
* energy: -2.464 eV per atom

# 3
A relaxed NaGaSi crystal, computed with PBE.

Unit cell a=7.4355 b=4.3716 c=7.2960 alpha=90.00 beta=90.00 gamma=90.00
Sites, in units of the cell vectors:
1 Na 0.0016 0.2500 0.1763
2 Na 0.4984 0.7500 0.6763
3 Na 0.5016 0.2500 0.3237
4 Na 0.9984 0.7500 0.8237
5 Ga 0.1661 0.2500 0.5911
6 Ga 0.3339 0.7500 0.0911
7 Ga 0.6661 0.2500 0.9089
8 Ga 0.8339 0.7500 0.4089
9 Si 0.1836 0.7500 0.4047
10 Si 0.3164 0.2500 0.9047
11 Si 0.6836 0.7500 0.0953
12 Si 0.8164 0.2500 0.5953

Values from the calculation:
* density of states at the Fermi level: 0.1071 states/eV/atom
* space-group type: Pnma, No. 62
* energy relative to the elements, uncorrected: -0.07 eV per atom
* energy: -3.328 eV per atom

# 4
A relaxed NaGaSi crystal, computed with PBE.

Unit cell a=7.9976 b=7.9976 c=7.9976 alpha=94.51 beta=94.51 gamma=147.44
Sites, in units of the cell vectors:
1 Na 0.0000 0.2149 0.2149
2 Na 0.0000 0.7851 0.7851
3 Na 0.2149 0.0000 0.2149
4 Na 0.7851 0.0000 0.7851
5 Ga 0.2917 0.2917 0.5835
6 Ga 0.2917 0.7083 0.0000
7 Ga 0.7083 0.2917 0.0000
8 Ga 0.7083 0.7083 0.4165
9 Si 0.1080 0.5000 0.6080
10 Si 0.5000 0.1080 0.6080
11 Si 0.5000 0.8920 0.3920
12 Si 0.8920 0.5000 0.3920

Values from the calculation:
* density of states at the Fermi level: 0.3266 states/eV/atom
* space-group type: I4/mmm, No. 139
* energy relative to the elements, uncorrected: 0.16 eV per atom
* energy: -3.101 eV per atom

# 5
A relaxed NaGaSi crystal, computed with PBE.

Unit cell a=6.2505 b=6.2505 c=4.1293 alpha=109.13 beta=109.13 gamma=69.73
Sites, in units of the cell vectors:
1 Na 0.2503 0.2503 0.2501
2 Na 0.7497 0.7497 0.7499
3 Ga 0.1712 0.8288 0.5000
4 Ga 0.8288 0.1712 0.5000
5 Si 0.3381 0.6619 0.0000
6 Si 0.6619 0.3381 0.0000

Values from the calculation:
* density of states at the Fermi level: 0.2189 states/eV/atom
* space-group type: C2/m, No. 12
* energy relative to the elements, uncorrected: -0.05 eV per atom
* energy: -3.309 eV per atom

# 6
A relaxed NaGaSi crystal, computed with PBE.

Unit cell a=6.3216 b=6.3216 c=5.9424 alpha=91.37 beta=91.37 gamma=33.19
Sites, in units of the cell vectors:
1 Na 0.0000 0.0000 0.0000
2 Na 0.6191 0.6191 0.5052
3 Ga 0.3071 0.3071 0.7670
4 Ga 0.9005 0.9005 0.4822
5 Si 0.2975 0.2975 0.2149
6 Si 0.7051 0.7051 0.0159

Values from the calculation:
* density of states at the Fermi level: 0.5293 states/eV/atom
* space-group type: Cm, No. 8
* energy relative to the elements, uncorrected: 0.06 eV per atom
* energy: -3.194 eV per atom

- Which of these has the highest density of states at the Fermi level?
  number 6

- Number 4 is which compound?
  NaGaSi

- Which of these has the lowest energy?
  number 3

Please write out number 2 again, unchanged.
A relaxed Na2GaSi crystal, computed with PBE.

Unit cell a=11.0478 b=11.0478 c=11.0478 alpha=158.94 beta=158.94 gamma=29.96
Sites, in units of the cell vectors:
1 Na 0.1192 0.6250 0.9942
2 Na 0.3750 0.3692 0.4942
3 Na 0.6308 0.1250 0.0058
4 Na 0.8750 0.8808 0.5058
5 Ga 0.2500 0.7500 0.5000
6 Ga 0.5000 0.5000 0.0000
7 Si 0.0000 0.0000 0.0000
8 Si 0.7500 0.2500 0.5000

Values from the calculation:
* density of states at the Fermi level: 0.4280 states/eV/atom
* distance to the lowest polymorph of the same formula: 327 meV/atom
* space-group type: I-42d, No. 122
* energy relative to the elements, uncorrected: 0.31 eV per atom
* energy: -2.464 eV per atom